Entry 1:
A relaxed structure of CaTl2Ag. Source: the Alexandria database, functional PBE.

```
CaTl2Ag
1.0
-0.9257 -3.6870 0.2636
2.1036 -2.6253 -1.7897
5.5679 -2.8864 6.7219
Ag Ca Tl
1 1 2
Direct
0.6671 0.6671 0.9986
0.4992 0.4992 0.5024
0.0736 0.0736 0.7792
0.2601 0.2601 0.2198
```

Calculated values
N(E_F) = 1.83 states/eV per cell
Crystal system = trigonal
Total magnetization = 0.0 μB per cell
DFT formation energy = -18.4 kJ/mol of formula units

---

Entry 2:
A relaxed structure of Th3BiPOs. Source: the Alexandria database, functional PBE.

```
Th3BiPOs
1.0
4.1049 0.0000 0.0000
0.0000 8.7348 -0.8805
0.0000 -4.3125 9.4487
Th P Os Bi
6 2 2 2
Direct
0.7500 0.2702 0.5209
0.7500 0.9289 0.1298
0.2500 0.5240 0.8641
0.7500 0.4760 0.1359
0.2500 0.0711 0.8702
0.2500 0.7298 0.4791
0.7500 0.2527 0.7932
0.2500 0.7473 0.2068
0.7500 0.8909 0.3839
0.2500 0.1091 0.6161
0.2500 0.2737 0.2551
0.7500 0.7263 0.7449
```

Calculated values
N(E_F) = 8.12 states/eV per cell
Crystal system = monoclinic
Total magnetization = 0.0 μB per cell
DFT formation energy = -383.8 kJ/mol of formula units

---

Entry 3:
A relaxed structure of Tb2HoPt2. Source: the Alexandria database, functional PBE.

```
Tb2HoPt2
1.0
4.0047 0.0000 0.0000
0.0000 7.7262 0.0000
0.0000 0.0000 7.7262
Tb Pt Ho
4 4 2
Direct
0.5000 0.6614 0.8386
0.5000 0.8386 0.3386
0.5000 0.3386 0.1614
0.5000 0.1614 0.6614
0.0000 0.6396 0.1396
0.0000 0.1396 0.3604
0.0000 0.8604 0.6396
0.0000 0.3604 0.8604
0.0000 0.5000 0.5000
0.0000 0.0000 0.0000
```

Calculated values
N(E_F) = 6.99 states/eV per cell
Crystal system = tetragonal
Total magnetization = 0.0 μB per cell
DFT formation energy = -513.6 kJ/mol of formula units

---

Entry 4:
A relaxed structure of Se3Cl5. Source: the Alexandria database, functional PBE.

```
Se3Cl5
1.0
7.8442 0.0000 0.0000
-3.9221 6.7933 0.0000
0.0000 0.0000 7.1189
Se Cl
6 10
Direct
0.0000 0.6488 0.2500
0.6488 0.6488 0.7500
0.3512 0.0000 0.7500
0.0000 0.3512 0.7500
0.3512 0.3512 0.2500
0.6488 0.0000 0.2500
0.3333 0.6667 0.5000
0.7589 0.0000 0.7500
0.2411 0.2411 0.7500
0.6667 0.3333 0.0000
0.0000 0.7589 0.7500
0.7589 0.7589 0.2500
0.6667 0.3333 0.5000
0.3333 0.6667 0.0000
0.2411 0.0000 0.2500
0.0000 0.2411 0.2500
```

Calculated values
N(E_F) = 18.13 states/eV per cell
Crystal system = hexagonal
Total magnetization = 0.0 μB per cell
ΔE_f (raw) = 303 meV per atom

---

Entry 5:
A relaxed structure of Sm5DyEr2Tm. Source: the Alexandria database, functional PBE.

```
Sm5DyEr2Tm
1.0
5.5971 0.0000 0.0000
-2.7985 10.0681 0.0000
0.0000 0.0000 10.6341
Sm Tm Er Dy
10 2 4 2
Direct
0.6129 0.2259 0.5220
0.2806 0.5611 0.3104
0.9834 0.9668 0.5193
0.0166 0.0332 0.0193
0.2988 0.5976 0.7070
0.7012 0.4024 0.2070
0.3871 0.7741 0.0220
0.7194 0.4389 0.8104
0.5181 0.0362 0.2424
0.4819 0.9638 0.7424
0.5905 0.1810 0.9614
0.4095 0.8190 0.4614
0.8889 0.7779 0.2391
0.8858 0.7716 0.8117
0.1111 0.2221 0.7391
0.1142 0.2284 0.3117
0.1991 0.3982 0.0106
0.8009 0.6018 0.5106
```

Calculated values
N(E_F) = 29.09 states/eV per cell
Crystal system = orthorhombic
Total magnetization = 0.0 μB per cell
DFT formation energy = 128.8 kJ/mol of formula units

---

Entry 6:
A relaxed structure of Tl2MoBr6. Source: the Alexandria database, functional PBE.

```
Tl2MoBr6
1.0
-0.5919 -2.5726 5.9466
-0.3382 -6.8383 -2.8687
6.2307 -3.9214 -0.9529
Br Tl Mo
6 2 1
Direct
0.7747 0.1624 0.6767
0.7747 0.6767 0.1624
0.2253 0.8376 0.3233
0.2303 0.8368 0.8368
0.2253 0.3233 0.8376
0.7697 0.1632 0.1632
0.8433 0.6700 0.6700
0.1567 0.3300 0.3300
0.0000 0.0000 0.0000
```

Calculated values
N(E_F) = 7.09 states/eV per cell
Crystal system = monoclinic
Total magnetization = 2.0 μB per cell
ΔE_f (raw) = -668 meV per atom
Distance to the lowest polymorph of the same formula = 0.206 eV per formula unit

---

Entry 7:
A relaxed structure of Ca3ThNi8. Source: the Alexandria database, functional PBE.

```
Ca3ThNi8
1.0
-2.0761 -2.7636 -3.7707
-1.0089 -4.9624 0.7229
-8.6415 -0.6251 1.7465
Th Ni Ca
1 8 3
Direct
0.8764 0.8764 0.3707
0.9313 0.4387 0.1913
0.4387 0.9313 0.1913
0.9370 0.4427 0.6832
0.9370 0.9370 0.6832
0.4427 0.9370 0.6832
0.1871 0.1871 0.4387
0.6880 0.6880 0.9361
0.4387 0.4387 0.1913
0.0048 0.0048 0.9855
0.4953 0.4953 0.5142
0.3729 0.3729 0.8813
```

Calculated values
N(E_F) = 13.70 states/eV per cell
Crystal system = trigonal
Total magnetization = 0.0 μB per cell
DFT formation energy = -297.3 kJ/mol of formula units

---

Entry 8:
A relaxed structure of H5AuCSBr3. Source: the Alexandria database, functional PBE.

```
H5AuCSBr3
1.0
-7.2591 4.0461 2.9679
-1.7663 -5.0083 1.0802
3.3683 0.0370 8.6022
H C Br S Au
10 2 6 2 2
Direct
0.0951 0.6742 0.8662
0.5128 0.7319 0.3661
0.3403 0.4493 0.4049
0.0958 0.3057 0.9026
0.6628 0.5019 0.5892
0.6067 0.2987 0.4472
0.1061 0.5570 0.1381
0.9220 0.6783 0.1169
0.5102 0.2625 0.6226
0.9321 0.3530 0.1560
0.9896 0.5214 0.1010
0.5683 0.3936 0.5404
0.4535 0.5000 0.0250
0.2645 0.0095 0.8306
0.6607 0.9926 0.2065
0.2130 0.0679 0.3378
0.0099 0.5096 0.5298
0.8011 0.9528 0.7122
0.9885 0.4766 0.9082
0.4318 0.6094 0.4845
0.0079 0.0098 0.5271
0.4600 0.0005 0.0217
```

Calculated values
N(E_F) = 4.86 states/eV per cell
Crystal system = triclinic
Total magnetization = 0.0 μB per cell
VASP energy = -3.7029 eV per atom

---

Entry 9:
A relaxed structure of NpSe2S. Source: the Alexandria database, functional PBE.

```
NpSe2S
1.0
-2.3453 -3.2185 0.9124
0.7380 -2.4758 -6.8365
5.8636 -2.9949 4.5079
S Se Np
2 4 2
Direct
0.7500 0.8372 0.3584
0.2500 0.1628 0.6416
0.7500 0.1126 0.0549
0.2500 0.3907 0.2987
0.2500 0.8874 0.9451
0.7500 0.6093 0.7013
0.2500 0.7782 0.5475
0.7500 0.2218 0.4525
```

Calculated values
N(E_F) = 18.40 states/eV per cell
Crystal system = monoclinic
Total magnetization = 6.0 μB per cell
ΔE_f (raw) = -850 meV per atom

---

Entry 10:
A relaxed structure of Te8PtRh5. Source: the Alexandria database, functional PBE.

```
Te8PtRh5
1.0
6.7826 0.0000 3.9159
2.2609 6.3947 3.9159
0.0000 0.0000 7.8318
Rh Te Pt
5 8 1
Direct
0.0000 0.0000 0.0000
0.6255 0.1234 0.6255
0.1234 0.6255 0.6255
0.6255 0.6255 0.1234
0.6255 0.6255 0.6255
0.8667 0.3998 0.8667
0.8667 0.8667 0.3998
0.3856 0.3856 0.8433
0.3998 0.8667 0.8667
0.3856 0.3856 0.3856
0.3856 0.8433 0.3856
0.8433 0.3856 0.3856
0.8667 0.8667 0.8667
0.2500 0.2500 0.2500
```

Calculated values
N(E_F) = 7.72 states/eV per cell
Crystal system = cubic
Total magnetization = 0.0 μB per cell
ΔE_f (raw) = -389 meV per atom

---

Entry 11:
A relaxed structure of LiBePbO4. Source: the Alexandria database, functional PBE.

```
LiBePbO4
1.0
-0.9813 0.1452 5.4456
-1.2592 -5.1143 2.7226
4.3316 -1.7705 3.6410
O Pb Be Li
8 2 2 2
Direct
0.7318 0.2962 0.2402
0.2704 0.2426 0.7426
0.7445 0.2426 0.7426
0.7318 0.7402 0.7962
0.2555 0.7574 0.2574
0.2682 0.2598 0.2038
0.2682 0.7038 0.7598
0.7296 0.7574 0.2574
0.0000 0.0000 0.0000
0.0000 0.5000 0.5000
0.3766 0.3734 0.8734
0.6234 0.6266 0.1266
0.0000 0.0000 0.5000
0.5000 0.0000 0.5000
```

Calculated values
N(E_F) = 4.27 states/eV per cell
Crystal system = orthorhombic
Total magnetization = 2.1 μB per cell
ΔE_f (raw) = -1329 meV per atom

---

Entry 12:
A relaxed structure of Ta3Be7Ni2. Source: the Alexandria database, functional PBE.

```
Ta3Be7Ni2
1.0
-3.4461 -2.4142 -1.8407
0.7818 -4.2008 -1.6835
-2.3296 -5.0507 5.2566
Be Ta Ni
7 3 2
Direct
0.5875 0.0762 0.7488
0.5000 0.5000 0.5000
0.4125 0.9238 0.2512
0.5875 0.5875 0.7488
0.0762 0.5875 0.7488
0.4125 0.4125 0.2512
0.9238 0.4125 0.2512
0.1424 0.1424 0.5729
0.8576 0.8576 0.4271
0.0000 0.0000 0.0000
0.3348 0.3348 0.9956
0.6652 0.6652 0.0044
```

Calculated values
N(E_F) = 8.35 states/eV per cell
Crystal system = trigonal
Total magnetization = 0.0 μB per cell
DFT formation energy = -323.4 kJ/mol of formula units

---

Entry 13:
A relaxed structure of TmNpO5. Source: the Alexandria database, functional PBE.

```
TmNpO5
1.0
0.4629 -3.7586 -1.5031
4.7971 -0.4407 -2.9422
3.7240 -2.9634 3.0353
O Tm Np
5 1 1
Direct
0.0000 0.6927 0.3073
0.7637 0.2363 0.2363
0.0000 0.3073 0.6927
0.5000 0.0000 0.0000
0.2363 0.7637 0.7637
0.5000 0.5000 0.5000
0.0000 0.0000 0.0000
```

Calculated values
Crystal system = orthorhombic
Total magnetization = 0.0 μB per cell
ΔE_f (raw) = -2856 meV per atom